[1]
The following is a DFT calculation (meta-GGA SCAN) of a PBEsol-optimized structure of RbHfAl2.

electronic total energy = -95.822 eV per cell
calculated formation energy = 0.773 eV/atom
density of states at the Fermi level = 3.71 states/eV/f.u.

a = 5.1157 Å, b = 5.1157 Å, c = 5.1157 Å
α = 60.00°, β = 60.00°, γ = 60.00°
Fractional coordinates of all 4 atoms:
Rb1 0.0000 0.0000 0.0000
Hf1 0.5000 0.5000 0.5000
Al1 0.2500 0.2500 0.2500
Al2 0.7500 0.7500 0.7500

***

[2]
The following is a DFT calculation (meta-GGA SCAN) of a PBEsol-optimized structure of HfAl3Re.

electronic total energy = -147.263 eV per cell
calculated formation energy = 1.953 eV/atom
density of states at the Fermi level = 2.13 states/eV/f.u.

a = 4.9200 Å, b = 4.9200 Å, c = 4.9200 Å
α = 90.00°, β = 90.00°, γ = 90.00°
Fractional coordinates of all 5 atoms:
Hf1 0.0000 0.0000 0.0000
Al1 0.0000 0.0000 0.5000
Al2 0.0000 0.5000 0.0000
Al3 0.5000 0.0000 0.0000
Re1 0.5000 0.5000 0.5000

***

[3]
The following is a DFT calculation (meta-GGA SCAN) of a PBEsol-optimized structure of HfAlRe3.

electronic total energy = -277.859 eV per cell
calculated formation energy = 1.172 eV/atom
density of states at the Fermi level = 5.84 states/eV/f.u.

a = 4.4300 Å, b = 4.4300 Å, c = 4.4300 Å
α = 90.00°, β = 90.00°, γ = 90.00°
Fractional coordinates of all 5 atoms:
Hf1 0.0000 0.0000 0.0000
Al1 0.5000 0.5000 0.5000
Re1 0.0000 0.5000 0.5000
Re2 0.5000 0.0000 0.5000
Re3 0.5000 0.5000 0.0000

***

[4]
The following is a DFT calculation (meta-GGA SCAN) of a PBEsol-optimized structure of HfAlRh.

electronic total energy = -427.374 eV per cell
calculated formation energy = -0.882 eV/atom
density of states at the Fermi level = 1.97 states/eV/f.u.

a = 8.1319 Å, b = 5.2287 Å, c = 5.2287 Å
α = 60.63°, β = 90.00°, γ = 90.00°
Fractional coordinates of all 12 atoms:
Hf1 0.1785 0.0000 0.0000
Hf2 0.2887 0.3360 0.3360
Hf3 0.7113 0.3360 0.3360
Hf4 0.8215 0.0000 0.0000
Al1 0.2441 0.6752 0.6752
Al2 0.5000 0.3244 0.8398
Al3 0.5000 0.8398 0.3244
Al4 0.7559 0.6752 0.6752
Rh1 0.0000 0.0083 0.5012
Rh2 0.0000 0.5012 0.0083
Rh3 0.0000 0.5031 0.5031
Rh4 0.5000 0.8393 0.8393

***

[5]
The following is a DFT calculation (meta-GGA SCAN) of a PBEsol-optimized structure of HfAl2RuSe.

electronic total energy = -129.216 eV per cell
density of states at the Fermi level = 4.57 states/eV/f.u.

a = 4.7108 Å, b = 4.7108 Å, c = 4.4655 Å
α = 90.00°, β = 90.00°, γ = 90.00°
Fractional coordinates of all 5 atoms:
Hf1 0.0000 0.0000 0.0000
Al1 0.0000 0.5000 0.5000
Al2 0.5000 0.0000 0.5000
Ru1 0.5000 0.5000 0.0000
Se1 0.5000 0.5000 0.5000

***

[6]
The following is a DFT calculation (meta-GGA SCAN) of a PBEsol-optimized structure of Hf2TaAlRu.

electronic total energy = -229.226 eV per cell
calculated formation energy = 1.056 eV/atom
density of states at the Fermi level = 3.31 states/eV/f.u.

a = 5.0312 Å, b = 5.0312 Å, c = 4.5440 Å
α = 90.00°, β = 90.00°, γ = 90.00°
Fractional coordinates of all 5 atoms:
Hf1 0.0000 0.5000 0.0000
Hf2 0.5000 0.0000 0.0000
Ta1 0.0000 0.0000 0.0000
Al1 0.5000 0.5000 0.5000
Ru1 0.0000 0.0000 0.5000

***

[7]
The following is a DFT calculation (meta-GGA SCAN) of a PBEsol-optimized structure of Hf2AlS.

electronic total energy = -143.706 eV per cell
energy relative to the lowest polymorph listed for this composition = 0 meV per atom
density of states at the Fermi level = 4.96 states/eV/f.u.

a = 4.6382 Å, b = 4.6382 Å, c = 4.6382 Å
α = 60.00°, β = 60.00°, γ = 60.00°
Fractional coordinates of all 4 atoms:
Hf1 0.2500 0.2500 0.2500
Hf2 0.7500 0.7500 0.7500
Al1 0.0000 0.0000 0.0000
S1 0.5000 0.5000 0.5000

***

[8]
The following is a DFT calculation (meta-GGA SCAN) of a PBEsol-optimized structure of Hf2AlS.

electronic total energy = -284.296 eV per cell
energy relative to the lowest polymorph listed for this composition = 389 meV per atom
density of states at the Fermi level = 2.69 states/eV/f.u.

a = 7.9837 Å, b = 7.9837 Å, c = 7.9837 Å
α = 141.49°, β = 141.49°, γ = 55.59°
Fractional coordinates of all 8 atoms:
Hf1 0.0714 0.6250 0.9464
Hf2 0.3750 0.3214 0.4464
Hf3 0.6786 0.1250 0.0536
Hf4 0.8750 0.9286 0.5536
Al1 0.2500 0.7500 0.5000
Al2 0.5000 0.5000 0.0000
S1 0.0000 0.0000 0.0000
S2 0.7500 0.2500 0.5000

***

[9]
The following is a DFT calculation (meta-GGA SCAN) of a PBEsol-optimized structure of HfAl3Sb.

electronic total energy = -116.916 eV per cell
density of states at the Fermi level = 4.26 states/eV/f.u.

a = 5.0689 Å, b = 5.0689 Å, c = 5.0689 Å
α = 90.00°, β = 90.00°, γ = 90.00°
Fractional coordinates of all 5 atoms:
Hf1 0.0000 0.0000 0.0000
Al1 0.0000 0.5000 0.5000
Al2 0.5000 0.0000 0.5000
Al3 0.5000 0.5000 0.0000
Sb1 0.5000 0.5000 0.5000

***

[10]
The following is a DFT calculation (meta-GGA SCAN) of a PBEsol-optimized structure of Hf2ScAl2.

electronic total energy = -313.240 eV per cell
calculated formation energy = -0.307 eV/atom
density of states at the Fermi level = 4.70 states/eV/f.u.

a = 7.6510 Å, b = 7.6510 Å, c = 3.3563 Å
α = 90.00°, β = 90.00°, γ = 90.00°
Fractional coordinates of all 10 atoms:
Hf1 0.1765 0.3235 0.0000
Hf2 0.3235 0.8235 0.0000
Hf3 0.6765 0.1765 0.0000
Hf4 0.8235 0.6765 0.0000
Sc1 0.0000 0.0000 0.5000
Sc2 0.5000 0.5000 0.5000
Al1 0.1206 0.6206 0.5000
Al2 0.3794 0.1206 0.5000
Al3 0.6206 0.8794 0.5000
Al4 0.8794 0.3794 0.5000

***

[11]
The following is a DFT calculation (meta-GGA SCAN) of a PBEsol-optimized structure of Hf2AlSi.

electronic total energy = -145.608 eV per cell
density of states at the Fermi level = 2.00 states/eV/f.u.

a = 3.8051 Å, b = 5.3473 Å, c = 5.3473 Å
α = 40.43°, β = 90.00°, γ = 90.00°
Fractional coordinates of all 4 atoms:
Hf1 0.0000 0.0000 0.0000
Hf2 0.5000 0.2978 0.2978
Al1 0.0000 0.7258 0.7258
Si1 0.5000 0.5701 0.5701

***

[12]
The following is a DFT calculation (meta-GGA SCAN) of a PBEsol-optimized structure of SrHf2Al.

electronic total energy = -305.245 eV per cell
calculated formation energy = 0.688 eV/atom
density of states at the Fermi level = 5.13 states/eV/f.u.

a = 10.9762 Å, b = 10.9762 Å, c = 10.9762 Å
α = 157.30°, β = 157.30°, γ = 32.32°
Fractional coordinates of all 8 atoms:
Sr1 0.0000 0.0000 0.0000
Sr2 0.7500 0.2500 0.5000
Hf1 0.1481 0.1250 0.5231
Hf2 0.3750 0.8519 0.9769
Hf3 0.6019 0.6250 0.4769
Hf4 0.8750 0.3981 0.0231
Al1 0.2500 0.7500 0.5000
Al2 0.5000 0.5000 0.0000

***

[13]
The following is a DFT calculation (meta-GGA SCAN) of a PBEsol-optimized structure of HfTaAl2.

electronic total energy = -145.088 eV per cell
calculated formation energy = -0.082 eV/atom
density of states at the Fermi level = 2.88 states/eV/f.u.

a = 4.5955 Å, b = 4.5955 Å, c = 4.5955 Å
α = 60.00°, β = 60.00°, γ = 60.00°
Fractional coordinates of all 4 atoms:
Hf1 0.0000 0.0000 0.0000
Ta1 0.5000 0.5000 0.5000
Al1 0.2500 0.2500 0.2500
Al2 0.7500 0.7500 0.7500

***

[14]
The following is a DFT calculation (meta-GGA SCAN) of a PBEsol-optimized structure of Tb4HfAl15.

electronic total energy = -374.497 eV per cell
calculated formation energy = -0.425 eV/atom
density of states at the Fermi level = 5.30 states/eV/f.u.

a = 12.4061 Å, b = 12.4061 Å, c = 12.4061 Å
α = 27.86°, β = 27.86°, γ = 27.86°
Fractional coordinates of all 20 atoms:
Tb1 0.1003 0.1003 0.1003
Tb2 0.3685 0.3685 0.3685
Tb3 0.6315 0.6315 0.6315
Tb4 0.8997 0.8997 0.8997
Hf1 0.5000 0.5000 0.5000
Al1 0.0000 0.0000 0.5000
Al2 0.0000 0.5000 0.0000
Al3 0.0783 0.6141 0.6141
Al4 0.1349 0.1349 0.6301
Al5 0.1349 0.6301 0.1349
Al6 0.3699 0.8651 0.8651
Al7 0.3859 0.3859 0.9217
Al8 0.3859 0.9217 0.3859
Al9 0.5000 0.0000 0.0000
Al10 0.6141 0.0783 0.6141
Al11 0.6141 0.6141 0.0783
Al12 0.6301 0.1349 0.1349
Al13 0.8651 0.3699 0.8651
Al14 0.8651 0.8651 0.3699
Al15 0.9217 0.3859 0.3859

***

[15]
The following is a DFT calculation (meta-GGA SCAN) of a PBEsol-optimized structure of Hf3AlTc.

electronic total energy = -228.475 eV per cell
calculated formation energy = 0.471 eV/atom
density of states at the Fermi level = 6.71 states/eV/f.u.

a = 4.8891 Å, b = 4.8891 Å, c = 4.8891 Å
α = 90.00°, β = 90.00°, γ = 90.00°
Fractional coordinates of all 5 atoms:
Hf1 0.0000 0.0000 0.5000
Hf2 0.0000 0.5000 0.0000
Hf3 0.5000 0.0000 0.0000
Al1 0.5000 0.5000 0.5000
Tc1 0.0000 0.0000 0.0000

***

[16]
The following is a DFT calculation (meta-GGA SCAN) of a PBEsol-optimized structure of Hf3TiAl.

electronic total energy = -207.193 eV per cell
calculated formation energy = 0.922 eV/atom
density of states at the Fermi level = 7.00 states/eV/f.u.

a = 4.8075 Å, b = 4.8075 Å, c = 4.8075 Å
α = 90.00°, β = 90.00°, γ = 90.00°
Fractional coordinates of all 5 atoms:
Hf1 0.0000 0.0000 0.5000
Hf2 0.0000 0.5000 0.0000
Hf3 0.5000 0.0000 0.0000
Ti1 0.0000 0.0000 0.0000
Al1 0.5000 0.5000 0.5000

***

[17]
The following is a DFT calculation (meta-GGA SCAN) of a PBEsol-optimized structure of Hf2AlTl2.

electronic total energy = -275.278 eV per cell
calculated formation energy = 0.507 eV/atom
density of states at the Fermi level = 6.32 states/eV/f.u.

a = 7.7339 Å, b = 7.7339 Å, c = 7.7339 Å
α = 149.68°, β = 149.68°, γ = 43.41°
Fractional coordinates of all 5 atoms:
Hf1 0.0919 0.0919 0.0000
Hf2 0.9081 0.9081 0.0000
Al1 0.5000 0.5000 0.0000
Tl1 0.2500 0.7500 0.5000
Tl2 0.7500 0.2500 0.5000

***

[18]
The following is a DFT calculation (meta-GGA SCAN) of a PBEsol-optimized structure of HfAl3W.

electronic total energy = -151.864 eV per cell
calculated formation energy = 0.751 eV/atom
density of states at the Fermi level = 2.51 states/eV/f.u.

a = 4.6931 Å, b = 4.6931 Å, c = 4.6931 Å
α = 90.00°, β = 90.00°, γ = 90.00°
Fractional coordinates of all 5 atoms:
Hf1 0.0000 0.0000 0.0000
Al1 0.0000 0.5000 0.5000
Al2 0.5000 0.0000 0.5000
Al3 0.5000 0.5000 0.0000
W1 0.5000 0.5000 0.5000

***

[19]
The following is a DFT calculation (meta-GGA SCAN) of a PBEsol-optimized structure of Y3HfAl.

electronic total energy = -150.641 eV per cell
calculated formation energy = 0.663 eV/atom
density of states at the Fermi level = 9.52 states/eV/f.u.

a = 5.3793 Å, b = 5.3793 Å, c = 5.3793 Å
α = 90.00°, β = 90.00°, γ = 90.00°
Fractional coordinates of all 5 atoms:
Y1 0.0000 0.0000 0.5000
Y2 0.0000 0.5000 0.0000
Y3 0.5000 0.0000 0.0000
Hf1 0.5000 0.5000 0.5000
Al1 0.0000 0.0000 0.0000

***

[20]
The following is a DFT calculation (meta-GGA SCAN) of a PBEsol-optimized structure of YHf3Al.

electronic total energy = -220.446 eV per cell
calculated formation energy = 0.634 eV/atom
density of states at the Fermi level = 9.07 states/eV/f.u.

a = 5.0311 Å, b = 5.0311 Å, c = 5.0311 Å
α = 90.00°, β = 90.00°, γ = 90.00°
Fractional coordinates of all 5 atoms:
Y1 0.0000 0.0000 0.0000
Hf1 0.0000 0.5000 0.5000
Hf2 0.5000 0.0000 0.5000
Hf3 0.5000 0.5000 0.0000
Al1 0.5000 0.5000 0.5000